Material: CrCoIr3
Method: DFT, PBE
State: optimized geometry

Calculated values
Calculated formation energy = 1.64 eV per atom
D(E_F) = 3.04 states/eV/atom
E = -7.02 eV/atom

abc: 4.4328 4.4328 4.4328
angles: 90.00 90.00 90.00
Sites, in units of the cell vectors:
Cr 0.0000 0.0000 0.0000
Co 0.5000 0.5000 0.5000
Ir 0.0000 0.0000 0.5000
Ir 0.0000 0.5000 0.0000
Ir 0.5000 0.0000 0.0000



Material: Ba2IrPt
Method: DFT, PBE
State: optimized geometry

Calculated values
Calculated formation energy = 0.08 eV per atom
D(E_F) = 0.76 states/eV/atom
E = -4.61 eV/atom

abc: 4.5476 4.5476 6.4126
angles: 90.00 90.00 90.00
Sites, in units of the cell vectors:
Ba 0.0000 0.0000 0.0000
Ba 0.5000 0.5000 0.5000
Ir 0.0000 0.0000 0.5000
Pt 0.5000 0.5000 0.0000